No. 1
Density functional theory data (PBE) for crystalline ZnPdBr at its relaxed geometry.

CIF file:
```
data_ZnPdBr
_symmetry_space_group_name_H-M 'P 1'
_symmetry_Int_Tables_number 1
_cell_length_a 4.096
_cell_length_b 3.641
_cell_length_c 18.375
_cell_angle_alpha 90.00
_cell_angle_beta 101.60
_cell_angle_gamma 90.00
loop_
_symmetry_equiv_pos_as_xyz
'x,y,z'
loop_
_atom_site_label
_atom_site_type_symbol
_atom_site_fract_x
_atom_site_fract_y
_atom_site_fract_z
Zn1 Zn 0.725 0.304 0.450
Zn2 Zn 0.725 0.804 0.950
Zn3 Zn 0.275 0.304 0.550
Zn4 Zn 0.275 0.804 0.050
Pd1 Pd 0.187 0.304 0.944
Pd2 Pd 0.813 0.804 0.556
Pd3 Pd 0.813 0.304 0.056
Pd4 Pd 0.187 0.804 0.444
Br1 Br 0.710 0.807 0.164
Br2 Br 0.290 0.807 0.836
Br3 Br 0.710 0.307 0.664
Br4 Br 0.290 0.307 0.336
```

Results
The value obtained for the energy relative to the lowest polymorph listed for this composition is 23 meV/atom. Its crystal system is monoclinic. The uncorrected formation energy is -1.170 eV per formula unit. Its density is 6.2 Mg/m³.

***

No. 2
Density functional theory data (PBE) for crystalline ZnPd3Br at its relaxed geometry.

CIF file:
```
data_ZnPd3Br
_symmetry_space_group_name_H-M 'P 1'
_symmetry_Int_Tables_number 1
_cell_length_a 4.716
_cell_length_b 4.716
_cell_length_c 4.716
_cell_angle_alpha 90.00
_cell_angle_beta 90.00
_cell_angle_gamma 90.00
loop_
_symmetry_equiv_pos_as_xyz
'x,y,z'
loop_
_atom_site_label
_atom_site_type_symbol
_atom_site_fract_x
_atom_site_fract_y
_atom_site_fract_z
Pd1 Pd 0.000 0.000 0.500
Pd2 Pd 0.000 0.500 0.000
Pd3 Pd 0.500 0.000 0.000
Zn1 Zn 0.000 0.000 0.000
Br1 Br 0.500 0.500 0.500
```

Results
The value obtained for the energy relative to the lowest polymorph listed for this composition is 0 meV/atom. Its crystal system is cubic. The uncorrected formation energy is 2.320 eV per formula unit. Its density is 7.4 Mg/m³.

***

No. 3
Density functional theory data (PBE) for crystalline ZnPdBr at its relaxed geometry.

CIF file:
```
data_ZnPdBr
_symmetry_space_group_name_H-M 'P 1'
_symmetry_Int_Tables_number 1
_cell_length_a 3.511
_cell_length_b 3.608
_cell_length_c 10.291
_cell_angle_alpha 99.70
_cell_angle_beta 90.44
_cell_angle_gamma 90.01
loop_
_symmetry_equiv_pos_as_xyz
'x,y,z'
loop_
_atom_site_label
_atom_site_type_symbol
_atom_site_fract_x
_atom_site_fract_y
_atom_site_fract_z
Br1 Br 0.742 0.849 0.166
Br2 Br 0.258 0.151 0.834
Zn1 Zn 0.245 0.166 0.330
Zn2 Zn 0.755 0.834 0.670
Pd1 Pd 0.252 0.298 0.580
Pd2 Pd 0.748 0.702 0.420
```

Results
The value obtained for the energy relative to the lowest polymorph listed for this composition is 0 meV/atom. Its crystal system is triclinic. The uncorrected formation energy is -1.239 eV per formula unit. Its density is 6.5 Mg/m³.

***

No. 4
Density functional theory data (PBE) for crystalline ZnPdBr at its relaxed geometry.

CIF file:
```
data_ZnPdBr
_symmetry_space_group_name_H-M 'P 1'
_symmetry_Int_Tables_number 1
_cell_length_a 3.446
_cell_length_b 4.250
_cell_length_c 9.259
_cell_angle_alpha 97.11
_cell_angle_beta 100.48
_cell_angle_gamma 90.00
loop_
_symmetry_equiv_pos_as_xyz
'x,y,z'
loop_
_atom_site_label
_atom_site_type_symbol
_atom_site_fract_x
_atom_site_fract_y
_atom_site_fract_z
Zn1 Zn 0.942 0.720 0.380
Zn2 Zn 0.058 0.280 0.620
Br1 Br 0.661 0.206 0.829
Br2 Br 0.339 0.794 0.171
Pd1 Pd 0.450 0.242 0.397
Pd2 Pd 0.550 0.758 0.603
```

Results
The value obtained for the energy relative to the lowest polymorph listed for this composition is 3 meV/atom. Its crystal system is triclinic. The uncorrected formation energy is -1.231 eV per formula unit. Its density is 6.3 Mg/m³.

***

No. 5
Density functional theory data (PBE) for crystalline ZnPdBr at its relaxed geometry.

CIF file:
```
data_ZnPdBr
_symmetry_space_group_name_H-M 'P 1'
_symmetry_Int_Tables_number 1
_cell_length_a 3.601
_cell_length_b 4.073
_cell_length_c 9.153
_cell_angle_alpha 99.98
_cell_angle_beta 94.18
_cell_angle_gamma 90.09
loop_
_symmetry_equiv_pos_as_xyz
'x,y,z'
loop_
_atom_site_label
_atom_site_type_symbol
_atom_site_fract_x
_atom_site_fract_y
_atom_site_fract_z
Zn1 Zn 0.230 0.913 0.632
Zn2 Zn 0.202 0.319 0.418
Pd1 Pd 0.752 0.411 0.642
Pd2 Pd 0.703 0.848 0.420
Br1 Br 0.705 0.943 0.853
Br2 Br 0.239 0.570 0.192
```

Results
The value obtained for the energy relative to the lowest polymorph listed for this composition is 18 meV/atom. Its crystal system is triclinic. The uncorrected formation energy is -1.184 eV per formula unit. Its density is 6.3 Mg/m³.

***

No. 6
Density functional theory data (PBE) for crystalline Zn2Pd2Br at its relaxed geometry.

CIF file:
```
data_Zn2Pd2Br
_symmetry_space_group_name_H-M 'P 1'
_symmetry_Int_Tables_number 1
_cell_length_a 7.387
_cell_length_b 7.387
_cell_length_c 3.137
_cell_angle_alpha 90.00
_cell_angle_beta 90.00
_cell_angle_gamma 90.00
loop_
_symmetry_equiv_pos_as_xyz
'x,y,z'
loop_
_atom_site_label
_atom_site_type_symbol
_atom_site_fract_x
_atom_site_fract_y
_atom_site_fract_z
Zn1 Zn 0.344 0.156 0.500
Zn2 Zn 0.656 0.844 0.500
Zn3 Zn 0.844 0.344 0.500
Zn4 Zn 0.156 0.656 0.500
Pd1 Pd 0.863 0.637 0.000
Pd2 Pd 0.637 0.137 0.000
Pd3 Pd 0.363 0.863 0.000
Pd4 Pd 0.137 0.363 0.000
Br1 Br 0.500 0.500 0.000
Br2 Br 0.000 0.000 0.000
```

Results
The value obtained for the energy relative to the lowest polymorph listed for this composition is 0 meV/atom. Its crystal system is tetragonal. The uncorrected formation energy is -1.094 eV per formula unit. Its density is 8.2 Mg/m³.

***

No. 7
Density functional theory data (PBE) for crystalline ZrPdBr3 at its relaxed geometry.

CIF file:
```
data_ZrPdBr3
_symmetry_space_group_name_H-M 'P 1'
_symmetry_Int_Tables_number 1
_cell_length_a 5.147
_cell_length_b 5.147
_cell_length_c 5.147
_cell_angle_alpha 90.00
_cell_angle_beta 90.00
_cell_angle_gamma 90.00
loop_
_symmetry_equiv_pos_as_xyz
'x,y,z'
loop_
_atom_site_label
_atom_site_type_symbol
_atom_site_fract_x
_atom_site_fract_y
_atom_site_fract_z
Br1 Br 0.500 0.000 0.000
Br2 Br 0.000 0.000 0.500
Br3 Br 0.000 0.500 0.000
Zr1 Zr 0.500 0.500 0.500
Pd1 Pd 0.000 0.000 0.000
```

Results
The value obtained for the energy relative to the lowest polymorph listed for this composition is 462 meV/atom. Its crystal system is cubic. The uncorrected formation energy is 0.785 eV per formula unit. Its density is 5.3 Mg/m³.

***

No. 8
Density functional theory data (PBE) for crystalline Zr2PdBr at its relaxed geometry.

CIF file:
```
data_Zr2PdBr
_symmetry_space_group_name_H-M 'P 1'
_symmetry_Int_Tables_number 1
_cell_length_a 7.294
_cell_length_b 7.294
_cell_length_c 6.090
_cell_angle_alpha 53.21
_cell_angle_beta 53.21
_cell_angle_gamma 90.00
loop_
_symmetry_equiv_pos_as_xyz
'x,y,z'
loop_
_atom_site_label
_atom_site_type_symbol
_atom_site_fract_x
_atom_site_fract_y
_atom_site_fract_z
Zr1 Zr 0.623 0.125 0.250
Zr2 Zr 0.127 0.625 0.250
Zr3 Zr 0.875 0.873 0.750
Zr4 Zr 0.375 0.377 0.750
Pd1 Pd 0.750 0.250 0.500
Pd2 Pd 0.000 0.000 0.000
Br1 Br 0.500 0.500 0.000
Br2 Br 0.250 0.750 0.500
```

Results
The value obtained for the energy relative to the lowest polymorph listed for this composition is 135 meV/atom. Its crystal system is tetragonal. The uncorrected formation energy is -0.613 eV per formula unit. Its density is 7.1 Mg/m³.

***

Q: Which value of energy relative to the lowest polymorph listed for this composition does entry 6 give?
A: 0 meV/atom

***

What did the second record say?
Density functional theory data (PBE) for crystalline ZnPd3Br at its relaxed geometry.

CIF file:
```
data_ZnPd3Br
_symmetry_space_group_name_H-M 'P 1'
_symmetry_Int_Tables_number 1
_cell_length_a 4.716
_cell_length_b 4.716
_cell_length_c 4.716
_cell_angle_alpha 90.00
_cell_angle_beta 90.00
_cell_angle_gamma 90.00
loop_
_symmetry_equiv_pos_as_xyz
'x,y,z'
loop_
_atom_site_label
_atom_site_type_symbol
_atom_site_fract_x
_atom_site_fract_y
_atom_site_fract_z
Pd1 Pd 0.000 0.000 0.500
Pd2 Pd 0.000 0.500 0.000
Pd3 Pd 0.500 0.000 0.000
Zn1 Zn 0.000 0.000 0.000
Br1 Br 0.500 0.500 0.500
```

Results
The value obtained for the energy relative to the lowest polymorph listed for this composition is 0 meV/atom. Its crystal system is cubic. The uncorrected formation energy is 2.320 eV per formula unit. Its density is 7.4 Mg/m³.

***

Please write out number 4 again, unchanged.
Density functional theory data (PBE) for crystalline ZnPdBr at its relaxed geometry.

CIF file:
```
data_ZnPdBr
_symmetry_space_group_name_H-M 'P 1'
_symmetry_Int_Tables_number 1
_cell_length_a 3.446
_cell_length_b 4.250
_cell_length_c 9.259
_cell_angle_alpha 97.11
_cell_angle_beta 100.48
_cell_angle_gamma 90.00
loop_
_symmetry_equiv_pos_as_xyz
'x,y,z'
loop_
_atom_site_label
_atom_site_type_symbol
_atom_site_fract_x
_atom_site_fract_y
_atom_site_fract_z
Zn1 Zn 0.942 0.720 0.380
Zn2 Zn 0.058 0.280 0.620
Br1 Br 0.661 0.206 0.829
Br2 Br 0.339 0.794 0.171
Pd1 Pd 0.450 0.242 0.397
Pd2 Pd 0.550 0.758 0.603
```

Results
The value obtained for the energy relative to the lowest polymorph listed for this composition is 3 meV/atom. Its crystal system is triclinic. The uncorrected formation energy is -1.231 eV per formula unit. Its density is 6.3 Mg/m³.

***

Q: What is the energy relative to the lowest polymorph listed for this composition in the seventh record?
A: 462 meV/atom